No. 1
This record from Alexandria via LeMat-Bulk describes LiTlSn after structural relaxation. The functional is PBE.

abc: 4.9476 4.9476 3.5275
angles: 90.00 90.00 120.00
Space group P3m1 (No. 156)
Inequivalent atoms, fractional coordinates:
Li (0.0000, 0.0000, 0.0000) (multiplicity 1)
Tl (0.3333, 0.6667, 0.2564) (multiplicity 1)
Sn (0.6667, 0.3333, 0.6522) (multiplicity 1)

Output
- E_form: -0.109 eV per atom
- DOS at the Fermi energy: 1.0 states/eV/cell
- Electronic total energy: -2.870 eV per atom

---

No. 2
This record from Alexandria via LeMat-Bulk describes Li3Tl2Sn after structural relaxation. The functional is PBE.

abc: 13.853 6.075 6.566
angles: 90.00 103.39 90.00
Space group C2/c (No. 15)
Inequivalent atoms, fractional coordinates:
Li (0.000, 0.228, 0.250) (multiplicity 4)
Li (0.151, 0.496, 0.573) (multiplicity 8)
Tl (0.163, 0.001, 0.081) (multiplicity 8)
Sn (0.000, 0.284, 0.750) (multiplicity 4)

Output
- E_form: -0.202 eV per atom
- DOS at the Fermi energy: 8.6 states/eV/cell
- Electronic total energy: -2.614 eV per atom
- Polymorph energy (0 for the lowest one): 0.060 eV/atom

---

No. 3
This record from Alexandria via LeMat-Bulk describes Li6Tl2Sn3 after structural relaxation. The functional is PBE.

abc: 5.159 5.159 20.698
angles: 90.00 90.00 90.00
Space group I4/mmm (No. 139)
Inequivalent atoms, fractional coordinates:
Li (0.000, 0.000, 0.208) (multiplicity 4)
Li (0.000, 0.500, 0.109) (multiplicity 8)
Tl (0.000, 0.000, 0.070) (multiplicity 4)
Sn (0.000, 0.000, 0.345) (multiplicity 4)
Sn (0.000, 0.000, 0.500) (multiplicity 2)

Output
- E_form: -0.035 eV per atom
- DOS at the Fermi energy: 9.5 states/eV/cell
- Electronic total energy: -2.601 eV per atom

---

No. 4
This record from Alexandria via LeMat-Bulk describes Li3Tl12Sn5 after structural relaxation. The functional is PBE.

abc: 17.338 17.338 17.338
angles: 90.00 90.00 90.00
Space group Ia-3d (No. 230)
Inequivalent atoms, fractional coordinates:
Li (0.000, 0.250, 0.125) (multiplicity 24)
Tl (0.025, 0.092, 0.649) (multiplicity 96)
Sn (0.000, 0.000, 0.000) (multiplicity 16)
Sn (0.000, 0.250, 0.375) (multiplicity 24)

Output
- E_form: 0.139 eV per atom
- DOS at the Fermi energy: 80.2 states/eV/cell
- Electronic total energy: -2.569 eV per atom

---

No. 5
This record from Alexandria via LeMat-Bulk describes LiTlSn after structural relaxation. The functional is PBE.

abc: 5.460 10.028 5.441
angles: 90.00 95.87 90.00
Space group C2 (No. 5)
Inequivalent atoms, fractional coordinates:
Li (0.231, 0.000, 0.260) (multiplicity 4)
Tl (0.233, 0.668, 0.263) (multiplicity 4)
Sn (0.229, 0.344, 0.228) (multiplicity 4)

Output
- E_form: -0.139 eV per atom
- DOS at the Fermi energy: 3.8 states/eV/cell
- Electronic total energy: -2.900 eV per atom

---

No. 6
This record from Alexandria via LeMat-Bulk describes Li4TlSn2 after structural relaxation. The functional is PBE.

abc: 7.140 5.793 8.106
angles: 90.00 113.13 90.00
Space group P2_1/m (No. 11)
Inequivalent atoms, fractional coordinates:
Li (0.017, 0.250, 0.300) (multiplicity 2)
Li (0.023, 0.250, 0.927) (multiplicity 2)
Li (0.411, 0.009, 0.279) (multiplicity 4)
Tl (0.236, 0.250, 0.664) (multiplicity 2)
Sn (0.222, 0.750, 0.463) (multiplicity 2)
Sn (0.395, 0.750, 0.949) (multiplicity 2)

Output
- E_form: -0.171 eV per atom
- DOS at the Fermi energy: 4.2 states/eV/cell
- Electronic total energy: -2.746 eV per atom
- Polymorph energy (0 for the lowest one): 0.047 eV/atom

---

No. 7
This record from Alexandria via LeMat-Bulk describes Li8Tl3Sn2 after structural relaxation. The functional is PBE.

abc: 5.5987 5.5987 30.4929
angles: 90.00 90.00 120.00
Space group R-3m (No. 166, hexagonal axes)
Inequivalent atoms, fractional coordinates:
Li (0.0000, 0.0000, 0.2251) (multiplicity 6)
Li (0.0009, 0.5005, 0.2729) (multiplicity 18)
Tl (0.0000, 0.0000, 0.3155) (multiplicity 6)
Tl (0.0000, 0.0000, 0.5000) (multiplicity 3)
Sn (0.0000, 0.0000, 0.1391) (multiplicity 6)

Output
- E_form: -0.153 eV per atom
- DOS at the Fermi energy: 8.5 states/eV/cell
- Electronic total energy: -2.493 eV per atom

---

No. 8
This record from Alexandria via LeMat-Bulk describes LiTl2Sn2 after structural relaxation. The functional is PBE.

abc: 4.239 4.239 16.989
angles: 90.00 90.00 90.00
Space group I4/mmm (No. 139)
Inequivalent atoms, fractional coordinates:
Li (0.000, 0.000, 0.000) (multiplicity 2)
Tl (0.000, 0.000, 0.404) (multiplicity 4)
Sn (0.000, 0.500, 0.250) (multiplicity 4)

Output
- E_form: 0.051 eV per atom
- DOS at the Fermi energy: 5.2 states/eV/cell
- Electronic total energy: -2.879 eV per atom
- Polymorph energy (0 for the lowest one): 0.161 eV/atom

---

No. 9
This record from Alexandria via LeMat-Bulk describes Li2TlSn9 after structural relaxation. The functional is PBE.

abc: 4.632 4.632 14.629
angles: 90.00 90.00 90.00
Space group P4/mmm (No. 123)
Inequivalent atoms, fractional coordinates:
Li (0.000, 0.000, 0.161) (multiplicity 2)
Tl (0.000, 0.000, 0.500) (multiplicity 1)
Sn (0.000, 0.500, 0.000) (multiplicity 2)
Sn (0.000, 0.500, 0.319) (multiplicity 4)
Sn (0.500, 0.500, 0.159) (multiplicity 2)
Sn (0.500, 0.500, 0.500) (multiplicity 1)

Output
- E_form: -0.067 eV per atom
- DOS at the Fermi energy: 5.8 states/eV/cell
- Electronic total energy: -3.585 eV per atom

---

No. 10
This record from Alexandria via LeMat-Bulk describes LiTl2Sn after structural relaxation. The functional is PBE.

abc: 4.7065 4.7065 17.0103
angles: 90.00 90.00 120.00
Space group R3m (No. 160, hexagonal axes)
Inequivalent atoms, fractional coordinates:
Li (0.0000, 0.0000, 0.0000) (multiplicity 3)
Tl (0.0000, 0.0000, 0.3806) (multiplicity 3)
Tl (0.0000, 0.0000, 0.5803) (multiplicity 3)
Sn (0.0000, 0.0000, 0.8035) (multiplicity 3)

Output
- E_form: -0.029 eV per atom
- DOS at the Fermi energy: 2.7 states/eV/cell
- Electronic total energy: -2.692 eV per atom
- Polymorph energy (0 for the lowest one): 0.043 eV/atom

---

No. 11
This record from Alexandria via LeMat-Bulk describes Li2TmSn2 after structural relaxation. The functional is PBE.

abc: 3.401 4.629 14.016
angles: 90.00 90.00 90.00
Space group Immm (No. 71)
Inequivalent atoms, fractional coordinates:
Li (0.000, 0.000, 0.221) (multiplicity 4)
Tm (0.000, 0.500, 0.500) (multiplicity 2)
Sn (0.000, 0.500, 0.110) (multiplicity 4)

Output
- E_form: -0.461 eV per atom
- DOS at the Fermi energy: 3.5 states/eV/cell
- Electronic total energy: -3.722 eV per atom
- Polymorph energy (0 for the lowest one): 0.006 eV/atom

---

No. 12
This record from Alexandria via LeMat-Bulk describes LiTmSn2 after structural relaxation. The functional is PBE.

abc: 7.297 7.297 7.297
angles: 90.00 90.00 90.00
Space group Fm-3m (No. 225)
Inequivalent atoms, fractional coordinates:
Li (0.000, 0.000, 0.000) (multiplicity 4)
Tm (0.000, 0.000, 0.500) (multiplicity 4)
Sn (0.250, 0.250, 0.250) (multiplicity 8)

Output
- E_form: -0.384 eV per atom
- DOS at the Fermi energy: 12.5 states/eV/cell
- Electronic total energy: -3.982 eV per atom
- Polymorph energy (0 for the lowest one): 0.139 eV/atom

---

Please write out number 4 again, unchanged.
This record from Alexandria via LeMat-Bulk describes Li3Tl12Sn5 after structural relaxation. The functional is PBE.

abc: 17.338 17.338 17.338
angles: 90.00 90.00 90.00
Space group Ia-3d (No. 230)
Inequivalent atoms, fractional coordinates:
Li (0.000, 0.250, 0.125) (multiplicity 24)
Tl (0.025, 0.092, 0.649) (multiplicity 96)
Sn (0.000, 0.000, 0.000) (multiplicity 16)
Sn (0.000, 0.250, 0.375) (multiplicity 24)

Output
- E_form: 0.139 eV per atom
- DOS at the Fermi energy: 80.2 states/eV/cell
- Electronic total energy: -2.569 eV per atom